Compound: TbYSi
Source: Alexandria
Functional: PBE
Structure: optimized geometry

Summary:
The density of states at the Fermi level is 3.12 states/eV/f.u. As for the symmetry: C2/m. The value obtained for the total magnetic moment is 0.00 μB/atom. The formation energy (no corrections) comes out at -533 meV per atom.

Unit cell a=6.016 b=6.016 c=8.140 alpha=123.52 beta=123.52 gamma=40.55
Sites, in units of the cell vectors:
Tb1 0.087 0.087 0.364
Tb2 0.913 0.913 0.636
Y1 0.326 0.326 0.923
Y2 0.674 0.674 0.077
Si1 0.378 0.378 0.340
Si2 0.622 0.622 0.660

Compound: GeTeS
Source: Alexandria
Functional: PBE
Structure: optimized geometry

Summary:
The density of states at the Fermi level is 0.38 states/eV/f.u. As for the symmetry: P1. The value obtained for the total magnetic moment is 0.00 μB/atom. The formation energy (no corrections) comes out at -60 meV per atom.

Unit cell a=3.485 b=6.386 c=8.641 alpha=70.35 beta=78.51 gamma=89.25
Sites, in units of the cell vectors:
Ge1 0.000 0.000 0.000
Ge2 0.324 0.862 0.366
Te1 0.604 0.810 0.801
Te2 0.734 0.203 0.530
S1 0.446 0.187 0.102
S2 0.889 0.683 0.243

Compound: CuBSe2
Source: Alexandria
Functional: PBE
Structure: optimized geometry

Summary:
The density of states at the Fermi level is 0.00 states/eV/f.u. As for the symmetry: C2/c. The value obtained for the total magnetic moment is 0.00 μB/atom. The formation energy (no corrections) comes out at -26 meV per atom.

Unit cell a=6.973 b=6.973 c=12.697 alpha=99.20 beta=99.20 gamma=91.02
Sites, in units of the cell vectors:
Cu1 0.050 0.752 0.878
Cu2 0.248 0.950 0.622
Cu3 0.257 0.370 0.616
Cu4 0.370 0.257 0.116
Cu5 0.630 0.743 0.884
Cu6 0.743 0.630 0.384
Cu7 0.752 0.050 0.378
Cu8 0.950 0.248 0.122
B1 0.066 0.239 0.841
B2 0.231 0.583 0.346
B3 0.239 0.066 0.341
B4 0.417 0.769 0.154
B5 0.583 0.231 0.846
B6 0.761 0.934 0.659
B7 0.769 0.417 0.654
B8 0.934 0.761 0.159
Se1 0.035 0.965 0.750
Se2 0.043 0.451 0.742
Se3 0.141 0.701 0.057
Se4 0.293 0.349 0.434
Se5 0.299 0.859 0.443
Se6 0.349 0.293 0.934
Se7 0.445 0.555 0.250
Se8 0.451 0.043 0.242
Se9 0.549 0.957 0.758
Se10 0.555 0.445 0.750
Se11 0.651 0.707 0.066
Se12 0.701 0.141 0.557
Se13 0.707 0.651 0.566
Se14 0.859 0.299 0.943
Se15 0.957 0.549 0.258
Se16 0.965 0.035 0.250

Compound: SrAcSe
Source: Alexandria
Functional: PBE
Structure: optimized geometry

Summary:
The density of states at the Fermi level is 1.90 states/eV/f.u. As for the symmetry: P3m1. The value obtained for the total magnetic moment is 0.31 μB/atom. The formation energy (no corrections) comes out at -1144 meV per atom.

Unit cell a=4.270 b=4.270 c=7.495 alpha=90.00 beta=90.00 gamma=120.00
Sites, in units of the cell vectors:
Sr1 0.000 0.000 0.000
Ac1 0.667 0.333 0.478
Se1 0.333 0.667 0.745

Compound: Be17VCu
Source: Alexandria
Functional: PBE
Structure: optimized geometry

Summary:
The formation energy comes out at -0.06 eV per atom. The density of states at the Fermi level is 5.40 states/eV/f.u. As for the symmetry: R3m. The value obtained for the total magnetic moment is 0.00 μB/atom.

Unit cell a=5.503 b=5.503 c=5.503 alpha=82.07 beta=82.07 gamma=82.07
Sites, in units of the cell vectors:
Be1 0.059 0.059 0.059
Be2 0.156 0.470 0.854
Be3 0.156 0.854 0.470
Be4 0.172 0.172 0.655
Be5 0.172 0.655 0.172
Be6 0.261 0.261 0.261
Be7 0.324 0.813 0.813
Be8 0.470 0.156 0.854
Be9 0.470 0.854 0.156
Be10 0.502 0.502 0.997
Be11 0.502 0.997 0.502
Be12 0.655 0.172 0.172
Be13 0.813 0.324 0.813
Be14 0.813 0.813 0.324
Be15 0.854 0.156 0.470
Be16 0.854 0.470 0.156
Be17 0.997 0.502 0.502
V1 0.493 0.493 0.493
Cu1 0.780 0.780 0.780

Compound: LiMg2Ga5Cu2
Source: Alexandria
Functional: PBE
Structure: optimized geometry

Summary:
The formation energy comes out at -0.19 eV per atom. The density of states at the Fermi level is 4.32 states/eV/f.u. As for the symmetry: P4/mbm. The value obtained for the total magnetic moment is 0.00 μB/atom.

Unit cell a=9.130 b=9.130 c=3.993 alpha=90.00 beta=90.00 gamma=90.00
Sites, in units of the cell vectors:
Li1 0.000 0.000 0.000
Li2 0.500 0.500 0.000
Mg1 0.178 0.322 0.000
Mg2 0.322 0.822 0.000
Mg3 0.678 0.178 0.000
Mg4 0.822 0.678 0.000
Ga1 0.000 0.500 0.500
Ga2 0.064 0.795 0.500
Ga3 0.205 0.064 0.500
Ga4 0.295 0.564 0.500
Ga5 0.436 0.295 0.500
Ga6 0.500 0.000 0.500
Ga7 0.564 0.705 0.500
Ga8 0.705 0.436 0.500
Ga9 0.795 0.936 0.500
Ga10 0.936 0.205 0.500
Cu1 0.119 0.619 0.000
Cu2 0.381 0.119 0.000
Cu3 0.619 0.881 0.000
Cu4 0.881 0.381 0.000

Compound: BaIrCl
Source: Alexandria
Functional: PBE
Structure: optimized geometry

Summary:
The density of states at the Fermi level is 3.16 states/eV/f.u. As for the symmetry: I4mm. The value obtained for the total magnetic moment is 0.00 μB/atom. The formation energy (no corrections) comes out at -84 meV per atom.

Unit cell a=5.908 b=5.908 c=5.908 alpha=136.25 beta=136.25 gamma=63.60
Sites, in units of the cell vectors:
Ba1 0.000 0.000 0.000
Ir1 0.561 0.561 0.000
Cl1 0.336 0.336 0.000

Compound: SmTmNiRu
Source: Alexandria
Functional: PBE
Structure: optimized geometry

Summary:
The formation energy comes out at -0.35 eV per atom. The density of states at the Fermi level is 2.76 states/eV/f.u. As for the symmetry: F-43m. The value obtained for the total magnetic moment is 0.00 μB/atom.

Unit cell a=4.816 b=4.816 c=4.816 alpha=60.00 beta=60.00 gamma=60.00
Sites, in units of the cell vectors:
Sm1 0.000 0.000 0.000
Tm1 0.500 0.500 0.500
Ni1 0.750 0.750 0.750
Ru1 0.250 0.250 0.250

Compound: SrVCr2Pd
Source: Alexandria
Functional: PBE
Structure: optimized geometry

Summary:
The formation energy comes out at 1.08 eV per atom. The density of states at the Fermi level is 3.21 states/eV/f.u. As for the symmetry: P4/mmm. The value obtained for the total magnetic moment is 0.95 μB/atom.

Unit cell a=4.461 b=4.461 c=5.583 alpha=90.00 beta=90.00 gamma=90.00
Sites, in units of the cell vectors:
Sr1 0.000 0.000 0.000
V1 0.000 0.000 0.500
Cr1 0.000 0.500 0.500
Cr2 0.500 0.000 0.500
Pd1 0.500 0.500 0.000

Compound: LaB3Rh
Source: Alexandria
Functional: PBE
Structure: optimized geometry

Summary:
The formation energy comes out at 2.65 eV per atom. The density of states at the Fermi level is 5.47 states/eV/f.u. As for the symmetry: Pm-3m. The value obtained for the total magnetic moment is 0.00 μB/atom.

Unit cell a=4.493 b=4.493 c=4.493 alpha=90.00 beta=90.00 gamma=90.00
Sites, in units of the cell vectors:
La1 0.000 0.000 0.000
B1 0.000 0.000 0.500
B2 0.000 0.500 0.000
B3 0.500 0.000 0.000
Rh1 0.500 0.500 0.500

Compound: AcPm5Dy2Ho
Source: Alexandria
Functional: PBE
Structure: optimized geometry

Summary:
The formation energy comes out at 0.08 eV per atom. The density of states at the Fermi level is 13.69 states/eV/f.u. As for the symmetry: Cmc2_1. The value obtained for the total magnetic moment is 0.00 μB/atom.

Unit cell a=9.240 b=9.240 c=12.164 alpha=90.00 beta=90.00 gamma=143.34
Sites, in units of the cell vectors:
Ac1 0.115 0.885 0.500
Ac2 0.885 0.115 0.000
Pm1 0.078 0.922 0.841
Pm2 0.080 0.920 0.164
Pm3 0.268 0.732 0.295
Pm4 0.268 0.732 0.706
Pm5 0.439 0.561 0.148
Pm6 0.561 0.439 0.648
Pm7 0.732 0.268 0.206
Pm8 0.732 0.268 0.795
Pm9 0.920 0.080 0.664
Pm10 0.922 0.078 0.341
Dy1 0.386 0.614 0.500
Dy2 0.438 0.562 0.853
Dy3 0.562 0.438 0.353
Dy4 0.614 0.386 0.000
Ho1 0.248 0.752 0.000
Ho2 0.752 0.248 0.500

Compound: FePdS3
Source: Alexandria
Functional: PBE
Structure: optimized geometry

Summary:
The density of states at the Fermi level is 6.54 states/eV/f.u. As for the symmetry: Pm-3m. The value obtained for the total magnetic moment is 0.73 μB/atom. The formation energy (no corrections) comes out at 500 meV per atom.

Unit cell a=4.439 b=4.439 c=4.439 alpha=90.00 beta=90.00 gamma=90.00
Sites, in units of the cell vectors:
Fe1 0.000 0.000 0.000
Pd1 0.500 0.500 0.500
S1 0.000 0.000 0.500
S2 0.000 0.500 0.000
S3 0.500 0.000 0.000

Compound: FeNi6H8
Source: Alexandria
Functional: PBE
Structure: optimized geometry

Summary:
The calculation puts the uncorrected energy at -70.1 eV per formula unit. The density of states at the Fermi level is 5.67 states/eV/f.u. As for the symmetry: P1. The value obtained for the total magnetic moment is 0.20 μB/atom.

Unit cell a=2.599 b=6.377 c=6.538 alpha=61.86 beta=89.89 gamma=90.00
Sites, in units of the cell vectors:
Fe1 0.000 0.000 0.000
Ni1 0.000 0.551 0.089
Ni2 0.000 0.817 0.639
Ni3 0.499 0.407 0.819
Ni4 0.499 0.682 0.362
Ni5 0.501 0.134 0.270
Ni6 0.999 0.267 0.548
H1 0.000 0.290 0.047
H2 0.001 0.526 0.593
H3 0.498 0.665 0.838
H4 0.500 0.159 0.780
H5 0.500 0.778 0.070
H6 0.501 0.020 0.567
H7 0.502 0.402 0.321
H8 0.998 0.902 0.330

Compound: PdNF2
Source: Alexandria
Functional: PBE
Structure: optimized geometry

Summary:
The density of states at the Fermi level is 2.76 states/eV/f.u. As for the symmetry: R-3m. The value obtained for the total magnetic moment is 0.18 μB/atom. The formation energy (no corrections) comes out at 787 meV per atom.

Unit cell a=7.443 b=7.443 c=7.443 alpha=21.11 beta=21.11 gamma=21.11
Sites, in units of the cell vectors:
Pd1 0.000 0.000 0.000
N1 0.500 0.500 0.500
F1 0.422 0.422 0.422
F2 0.578 0.578 0.578

Compound: CeY2Er6
Source: Alexandria
Functional: PBE
Structure: optimized geometry

Summary:
The formation energy comes out at 0.05 eV per atom. The density of states at the Fermi level is 14.01 states/eV/f.u. As for the symmetry: P4_2/mnm. The value obtained for the total magnetic moment is 0.13 μB/atom.

Unit cell a=10.548 b=10.548 c=5.016 alpha=90.00 beta=90.00 gamma=90.00
Sites, in units of the cell vectors:
Ce1 0.000 0.000 0.000
Ce2 0.500 0.500 0.500
Y1 0.166 0.166 0.500
Y2 0.334 0.666 0.000
Y3 0.666 0.334 0.000
Y4 0.834 0.834 0.500
Er1 0.001 0.333 0.000
Er2 0.166 0.834 0.500
Er3 0.167 0.501 0.500
Er4 0.333 0.001 0.000
Er5 0.334 0.334 0.000
Er6 0.499 0.833 0.500
Er7 0.501 0.167 0.500
Er8 0.666 0.666 0.000
Er9 0.667 0.999 0.000
Er10 0.833 0.499 0.500
Er11 0.834 0.166 0.500
Er12 0.999 0.667 0.000

Compound: BeNb2PtN
Source: Alexandria
Functional: PBE
Structure: optimized geometry

Summary:
The density of states at the Fermi level is 4.75 states/eV/f.u. As for the symmetry: P4/mmm. The value obtained for the total magnetic moment is 0.00 μB/atom. The formation energy (no corrections) comes out at -541 meV per atom.

Unit cell a=4.476 b=4.476 c=3.301 alpha=90.00 beta=90.00 gamma=90.00
Sites, in units of the cell vectors:
Be1 0.000 0.000 0.000
Nb1 0.000 0.500 0.500
Nb2 0.500 0.000 0.500
Pt1 0.500 0.500 0.000
N1 0.000 0.000 0.500

Compound: TbCe2PmBi4
Source: Alexandria
Functional: PBE
Structure: optimized geometry

Summary:
The formation energy comes out at -0.85 eV per atom. The density of states at the Fermi level is 14.88 states/eV/f.u. As for the symmetry: P2/m. The value obtained for the total magnetic moment is 0.21 μB/atom.

Unit cell a=7.907 b=4.565 c=7.920 alpha=90.00 beta=109.44 gamma=90.00
Sites, in units of the cell vectors:
Tb1 0.000 0.000 0.000
Ce1 0.000 0.500 0.500
Ce2 0.500 0.000 0.500
Pm1 0.500 0.500 0.000
Bi1 0.246 0.500 0.246
Bi2 0.248 0.000 0.752
Bi3 0.752 0.000 0.248
Bi4 0.754 0.500 0.754

Compound: LiPaNb4N8
Source: Alexandria
Functional: PBE
Structure: optimized geometry

Summary:
The density of states at the Fermi level is 4.77 states/eV/f.u. As for the symmetry: R3m. The value obtained for the total magnetic moment is 0.00 μB/atom. The formation energy (no corrections) comes out at -870 meV per atom.

Unit cell a=6.258 b=6.258 c=6.258 alpha=61.54 beta=61.54 gamma=61.54
Sites, in units of the cell vectors:
Li1 0.000 0.000 0.000
Pa1 0.600 0.600 0.600
Nb1 0.377 0.377 0.377
Nb2 0.509 0.995 0.995
Nb3 0.995 0.509 0.995
Nb4 0.995 0.995 0.509
N1 0.201 0.767 0.767
N2 0.246 0.246 0.246
N3 0.271 0.271 0.754
N4 0.271 0.754 0.271
N5 0.754 0.271 0.271
N6 0.754 0.754 0.754
N7 0.767 0.201 0.767
N8 0.767 0.767 0.201

Compound: MgRe2W
Source: Alexandria
Functional: PBE
Structure: optimized geometry

Summary:
The formation energy comes out at 0.25 eV per atom. The density of states at the Fermi level is 2.71 states/eV/f.u. As for the symmetry: Immm. The value obtained for the total magnetic moment is 0.00 μB/atom.

Unit cell a=5.216 b=5.216 c=5.216 alpha=145.21 beta=128.40 gamma=63.74
Sites, in units of the cell vectors:
Mg1 0.000 0.000 0.000
Re1 0.262 0.762 0.500
Re2 0.738 0.238 0.500
W1 0.500 0.500 0.000

Compound: CrReTe2I
Source: Alexandria
Functional: PBE
Structure: optimized geometry

Summary:
The density of states at the Fermi level is 3.48 states/eV/f.u. As for the symmetry: P4/mmm. The value obtained for the total magnetic moment is 1.60 μB/atom. The formation energy (no corrections) comes out at 1333 meV per atom.

Unit cell a=5.325 b=5.325 c=5.306 alpha=90.00 beta=90.00 gamma=90.00
Sites, in units of the cell vectors:
Cr1 0.000 0.000 0.000
Re1 0.500 0.500 0.500
Te1 0.000 0.500 0.000
Te2 0.500 0.000 0.000
I1 0.000 0.000 0.500

Compound: CaSmIn2
Source: Alexandria
Functional: PBE
Structure: optimized geometry

Summary:
The formation energy comes out at -0.47 eV per atom. The density of states at the Fermi level is 3.30 states/eV/f.u. As for the symmetry: Fm-3m. The value obtained for the total magnetic moment is 0.00 μB/atom.

Unit cell a=5.433 b=5.433 c=5.433 alpha=60.00 beta=60.00 gamma=60.00
Sites, in units of the cell vectors:
Ca1 0.000 0.000 0.000
Sm1 0.500 0.500 0.500
In1 0.250 0.250 0.250
In2 0.750 0.750 0.750

Compound: La2Sb4Ir3Pd
Source: Alexandria
Functional: PBE
Structure: optimized geometry

Summary:
The density of states at the Fermi level is 6.74 states/eV/f.u. As for the symmetry: P-4m2. The value obtained for the total magnetic moment is 0.00 μB/atom. The formation energy (no corrections) comes out at -736 meV per atom.

Unit cell a=4.647 b=4.647 c=10.415 alpha=90.00 beta=90.00 gamma=90.00
Sites, in units of the cell vectors:
La1 0.000 0.500 0.245
La2 0.500 0.000 0.755
Sb1 0.000 0.000 0.500
Sb2 0.000 0.500 0.869
Sb3 0.500 0.000 0.131
Sb4 0.500 0.500 0.500
Ir1 0.000 0.000 0.000
Ir2 0.000 0.500 0.619
Ir3 0.500 0.000 0.381
Pd1 0.500 0.500 0.000